Entry from Alexandria via LeMat-Bulk: a relaxed structure of Pm2AlTl (PBE-GGA).

Values from the calculation:
**E_form**: -0.370 eV per atom
**Total magnetic moment**: 0.00 μB/f.u.

Structure (CIF):
```
data_Pm2AlTl
_chemical_formula_sum 'Pm2 Al1 Tl1'
_symmetry_space_group_name_H-M 'P 4/m m m'
_symmetry_Int_Tables_number 123
_symmetry_space_group_name_Hall '-P 4 2'
_cell_length_a 3.751
_cell_length_b 3.751
_cell_length_c 7.794
_cell_angle_alpha 90.00
_cell_angle_beta 90.00
_cell_angle_gamma 90.00
loop_
_atom_site_label
_atom_site_type_symbol
_atom_site_fract_x
_atom_site_fract_y
_atom_site_fract_z
Pm1 Pm 0.000 0.000 0.236
Al1 Al 0.500 0.500 0.000
Tl1 Tl 0.500 0.500 0.500
```

=====

Entry from Alexandria via LeMat-Bulk: a relaxed structure of ReTe2C (PBE-GGA).

Values from the calculation:
**Total energy**: -5.61 eV/atom
**Total magnetic moment**: 0.00 μB/f.u.

Structure (CIF):
```
data_ReTe2C
_chemical_formula_sum 'Re4 Te8 C4'
_symmetry_space_group_name_H-M 'I -4 2 d'
_symmetry_Int_Tables_number 122
_symmetry_space_group_name_Hall 'I -4 2bw'
_cell_length_a 5.719
_cell_length_b 5.719
_cell_length_c 10.638
_cell_angle_alpha 90.00
_cell_angle_beta 90.00
_cell_angle_gamma 90.00
loop_
_atom_site_label
_atom_site_type_symbol
_atom_site_fract_x
_atom_site_fract_y
_atom_site_fract_z
Re1 Re 0.000 0.000 0.000
Te1 Te 0.212 0.250 0.625
C1 C 0.000 0.000 0.500
```

=====

Entry from Alexandria via LeMat-Bulk: a relaxed structure of ScNiAg2 (PBE-GGA).

Values from the calculation:
**E_form**: -0.143 eV per atom
**Total magnetic moment**: 0.00 μB/f.u.

Structure (CIF):
```
data_ScNiAg2
_chemical_formula_sum 'Sc4 Ni4 Ag8'
_symmetry_space_group_name_H-M 'F -4 3 m'
_symmetry_Int_Tables_number 216
_symmetry_space_group_name_Hall 'F -4 2 3'
_cell_length_a 6.472
_cell_length_b 6.472
_cell_length_c 6.472
_cell_angle_alpha 90.00
_cell_angle_beta 90.00
_cell_angle_gamma 90.00
loop_
_atom_site_label
_atom_site_type_symbol
_atom_site_fract_x
_atom_site_fract_y
_atom_site_fract_z
Sc1 Sc 0.000 0.000 0.000
Ni1 Ni 0.250 0.250 0.750
Ag1 Ag 0.000 0.000 0.500
Ag2 Ag 0.250 0.250 0.250
```